# 1
This record from the Alexandria database describes a geometry-optimized Fe2SiPt structure. The functional is PBE.

Structure (extended XYZ):
```
8
Lattice="4.982 0.000 0.000 0.000 7.745 0.000 0.000 0.000 2.696" Properties=species:S:1:pos:R:3 pbc="T T T"
Fe 1.245 1.936 0.000
Fe 1.245 5.809 0.000
Fe 3.736 1.936 0.000
Fe 3.736 5.809 0.000
Si 0.000 0.000 1.348
Si 2.491 3.873 1.348
Pt 0.000 3.873 1.348
Pt 2.491 0.000 1.348
```

Energy relative to the elements, uncorrected ... -0.881 eV/f.u.
Total magnetic moment ... 4.97 μB per formula unit



# 2
This record from the Alexandria database describes a geometry-optimized NdAl2Ag structure. The functional is PBE.

Structure (extended XYZ):
```
16
Lattice="4.667 0.000 0.000 0.000 10.597 0.000 0.000 0.000 6.834" Properties=species:S:1:pos:R:3 pbc="T T T"
Nd 0.000 0.965 1.709
Nd 0.000 9.631 5.126
Nd 2.333 4.333 5.126
Nd 2.333 6.264 1.709
Al 0.000 4.005 0.373
Al 0.000 4.005 3.044
Al 0.000 6.592 3.790
Al 0.000 6.592 6.462
Al 2.333 1.294 3.790
Al 2.333 1.294 6.462
Al 2.333 9.303 0.373
Al 2.333 9.303 3.044
Ag 0.000 2.147 5.126
Ag 0.000 8.449 1.709
Ag 2.333 3.151 1.709
Ag 2.333 7.446 5.126
```

Total magnetic moment ... 0.00 μB per formula unit



# 3
This record from the Alexandria database describes a geometry-optimized Ti5Sn2As2 structure. The functional is PBE.

Structure (extended XYZ):
```
18
Lattice="6.758 -3.523 0.000 6.758 3.523 0.000 0.000 0.000 6.916" Properties=species:S:1:pos:R:3 pbc="T T T"
Ti 0.000 0.000 0.000
Ti 5.150 2.431 4.574
Ti 5.150 1.092 1.116
Ti 8.367 2.431 4.574
Ti 8.367 1.092 1.116
Ti 6.758 0.000 3.458
Ti 5.150 -1.092 5.801
Ti 5.150 -2.431 2.343
Ti 8.367 -1.092 5.801
Ti 8.367 -2.431 2.343
Sn 2.849 0.000 0.000
Sn 3.910 0.000 3.458
Sn 9.607 0.000 3.458
Sn 10.668 0.000 0.000
As 6.758 2.529 2.490
As 6.758 0.994 5.948
As 6.758 -0.994 0.968
As 6.758 -2.529 4.426
```

Total magnetic moment ... 0.00 μB per formula unit



# 4
This record from the Alexandria database describes a geometry-optimized LiEr3 structure. The functional is PBE.

Structure (extended XYZ):
```
8
Lattice="3.696 0.000 0.000 0.000 11.062 0.000 0.000 0.000 5.420" Properties=species:S:1:pos:R:3 pbc="T T T"
Li 0.000 0.000 0.000
Li 1.848 5.531 2.710
Er 0.000 3.038 2.721
Er 0.000 5.531 0.004
Er 0.000 8.024 2.721
Er 1.848 0.000 2.714
Er 1.848 2.493 0.011
Er 1.848 8.569 0.011
```

Total magnetic moment ... 0.00 μB per formula unit



# 5
This record from the Alexandria database describes a geometry-optimized CaAcF6 structure. The functional is PBE.

Structure (extended XYZ):
```
8
Lattice="4.674 0.000 0.000 0.000 4.200 0.000 -0.111 0.000 5.771" Properties=species:S:1:pos:R:3 pbc="T T T"
Ca 0.000 0.000 0.000
Ac 2.305 2.100 2.938
F -0.035 2.100 3.865
F 1.075 0.000 2.116
F 1.241 2.100 0.500
F 2.364 0.000 4.583
F 3.444 0.000 2.052
F 3.605 2.100 0.525
```

Energy relative to the elements, uncorrected ... -27.845 eV/f.u.
Total magnetic moment ... 1.01 μB per formula unit



# 6
This record from the Alexandria database describes a geometry-optimized GaCu8Pd6 structure. The functional is PBE.

Structure (extended XYZ):
```
15
Lattice="3.488 2.014 5.223 -3.488 2.014 5.223 0.000 -4.028 5.223" Properties=species:S:1:pos:R:3 pbc="T T T"
Ga 0.000 0.000 0.000
Cu -2.425 0.058 7.279
Cu -1.263 -2.071 8.391
Cu 0.000 0.000 3.898
Cu 1.162 -2.129 7.279
Cu -1.162 2.129 8.391
Cu 0.000 0.000 11.771
Cu 1.263 2.071 7.279
Cu 2.425 -0.058 8.391
Pd -0.854 -1.703 5.895
Pd -1.902 -0.112 9.774
Pd -1.048 1.591 5.895
Pd 1.048 -1.591 9.774
Pd 1.902 0.112 5.895
Pd 0.854 1.703 9.774
```

Total magnetic moment ... 0.00 μB per formula unit



# 7
This record from the Alexandria database describes a geometry-optimized MgTeBrN2 structure. The functional is PBE.

Structure (extended XYZ):
```
5
Lattice="4.003 0.000 0.000 0.000 4.003 0.000 0.000 0.000 8.134" Properties=species:S:1:pos:R:3 pbc="T T T"
Mg 0.000 0.000 0.000
Te 2.001 2.001 0.000
Br 2.001 2.001 4.067
N 0.000 2.001 4.067
N 2.001 0.000 4.067
```

Energy relative to the elements, uncorrected ... 8.438 eV/f.u.
Total magnetic moment ... 1.43 μB per formula unit



# 8
This record from the Alexandria database describes a geometry-optimized Ac6HgPt2I3 structure. The functional is PBE.

Structure (extended XYZ):
```
12
Lattice="3.968 -6.861 0.000 3.968 6.861 0.000 -2.655 0.000 8.541" Properties=species:S:1:pos:R:3 pbc="T T T"
Ac -0.096 2.436 6.894
Ac 1.154 0.000 1.637
Ac -0.096 -2.436 6.894
Ac 5.377 2.436 1.647
Ac 4.126 0.000 6.904
Ac 5.377 -2.436 1.647
Hg 3.968 0.000 0.000
Pt 3.968 4.570 0.000
Pt 3.968 -4.570 0.000
I -1.328 0.000 4.271
I 2.640 2.217 4.271
I 2.640 -2.217 4.271
```

Energy relative to the elements, uncorrected ... -12.368 eV/f.u.
Total magnetic moment ... 0.00 μB per formula unit



# 9
This record from the Alexandria database describes a geometry-optimized PmCd2Au3 structure. The functional is PBE.

Structure (extended XYZ):
```
6
Lattice="4.839 0.000 0.000 -2.420 4.191 0.000 0.000 0.000 6.422" Properties=species:S:1:pos:R:3 pbc="T T T"
Pm 0.000 0.000 0.000
Cd 0.000 2.794 4.366
Cd 2.420 1.397 2.056
Au 0.000 0.000 3.211
Au 0.000 2.794 1.401
Au 2.420 1.397 5.021
```

Total magnetic moment ... 0.00 μB per formula unit



# 10
This record from the Alexandria database describes a geometry-optimized CaSeSN2 structure. The functional is PBE.

Structure (extended XYZ):
```
5
Lattice="3.864 0.000 0.000 0.000 3.864 0.000 0.000 0.000 5.141" Properties=species:S:1:pos:R:3 pbc="T T T"
Ca 0.000 0.000 0.000
Se 1.932 1.932 0.000
S 1.932 1.932 2.570
N 0.000 1.932 2.570
N 1.932 0.000 2.570
```

Energy relative to the elements, uncorrected ... 3.974 eV/f.u.
Total magnetic moment ... 1.00 μB per formula unit



# 11
This record from the Alexandria database describes a geometry-optimized La3CoPb structure. The functional is PBE.

Structure (extended XYZ):
```
10
Lattice="6.190 0.000 0.000 2.273 6.603 0.000 0.251 0.618 7.132" Properties=species:S:1:pos:R:3 pbc="T T T"
La 2.013 2.302 1.462
La 3.459 5.378 0.256
La 3.591 5.328 3.708
La 5.123 1.893 3.425
La 5.255 1.843 6.876
La 6.701 4.919 5.671
Co 3.988 3.932 5.746
Co 4.725 3.289 1.387
Pb 2.127 1.930 5.089
Pb 6.587 5.291 2.043
```

Total magnetic moment ... 0.00 μB per formula unit



# 12
This record from the Alexandria database describes a geometry-optimized CuBrN2 structure. The functional is PBE.

Structure (extended XYZ):
```
16
Lattice="5.311 0.000 0.000 0.000 5.311 0.000 0.000 0.000 7.785" Properties=species:S:1:pos:R:3 pbc="T T T"
Cu 0.000 0.000 0.000
Cu 0.000 2.655 1.946
Cu 2.655 0.000 5.839
Cu 2.655 2.655 3.892
Br 0.000 0.000 3.892
Br 0.000 2.655 5.839
Br 2.655 0.000 1.946
Br 2.655 2.655 0.000
N 0.926 1.328 0.973
N 1.328 3.581 2.919
N 1.328 4.385 6.812
N 1.730 1.328 4.865
N 3.581 3.983 4.865
N 3.983 0.926 6.812
N 3.983 1.730 2.919
N 4.385 3.983 0.973
```

Energy relative to the elements, uncorrected ... 6.729 eV/f.u.
Total magnetic moment ... 0.00 μB per formula unit



Sequential DFT total energy output: -7.318; -4.165; -6.913; -3.822; -5.648; -4.482; -2.924; -4.504; -3.211; -4.458; -5.460; -3.923 eV per atom